1.
LaEr4Al | Alexandria via LeMat-Bulk | PBE-GGA | optimized geometry; relative energy among the computed polymorphs = 0 meV per atom; DOS at the Fermi energy = 7.990 states/eV/f.u.; uncorrected energy = -4.60 eV/atom; space-group type = P4/mmm
1.0
3.558 0.000 0.000
0.000 3.558 0.000
0.000 0.000 13.885
La Er Al
1 4 1
direct
0.000 0.000 0.000
0.000 0.000 0.367
0.000 0.000 0.633
0.500 0.500 0.187
0.500 0.500 0.813
0.500 0.500 0.500

=====

2.
LaErAl2 | Alexandria via LeMat-Bulk | PBE-GGA | optimized geometry; relative energy among the computed polymorphs = 0 meV per atom; DOS at the Fermi energy = 2.076 states/eV/f.u.; uncorrected energy = -4.63 eV/atom; space-group type = P4/mmm
1.0
3.683 0.000 0.000
0.000 3.683 0.000
0.000 0.000 7.378
La Er Al
1 1 2
direct
0.000 0.000 0.000
0.000 0.000 0.500
0.500 0.500 0.276
0.500 0.500 0.724

=====

3.
LaEr3Al4 | Alexandria via LeMat-Bulk | PBE-GGA | optimized geometry; DOS at the Fermi energy = 2.884 states/eV/f.u.; uncorrected energy = -4.57 eV/atom; space-group type = P4/mmm
1.0
5.121 0.000 0.000
0.000 5.121 0.000
0.000 0.000 7.300
La Er Al
1 3 4
direct
0.000 0.000 0.000
0.000 0.000 0.500
0.500 0.500 0.000
0.500 0.500 0.500
0.000 0.500 0.264
0.000 0.500 0.736
0.500 0.000 0.264
0.500 0.000 0.736

=====

4.
LaEr4Al4 | Alexandria via LeMat-Bulk | PBE-GGA | optimized geometry; DOS at the Fermi energy = 7.768 states/eV/f.u.; uncorrected energy = -4.40 eV/atom; space-group type = I4/m
1.0
-4.784 4.784 2.631
4.784 -4.784 2.631
4.784 4.784 -2.631
La Er Al
1 4 4
direct
0.000 0.000 0.000
0.099 0.648 0.747
0.352 0.099 0.451
0.648 0.901 0.549
0.901 0.352 0.253
0.316 0.418 0.734
0.418 0.684 0.102
0.582 0.316 0.898
0.684 0.582 0.266

=====

5.
La3ErAl8 | Alexandria via LeMat-Bulk | PBE-GGA | optimized geometry; relative energy among the computed polymorphs = 16 meV per atom; DOS at the Fermi energy = 7.290 states/eV/f.u.; uncorrected energy = -4.58 eV/atom; space-group type = P3m1
1.0
5.696 0.000 0.000
-2.848 4.933 0.000
0.000 0.000 9.366
La Er Al
3 1 8
direct
0.000 0.000 0.000
0.000 0.000 0.362
0.333 0.667 0.864
0.333 0.667 0.499
0.010 0.505 0.185
0.325 0.162 0.675
0.495 0.505 0.185
0.495 0.990 0.185
0.667 0.333 0.432
0.667 0.333 0.926
0.838 0.162 0.675
0.838 0.675 0.675

=====

6.
LaEr3Al8 | Alexandria via LeMat-Bulk | PBE-GGA | optimized geometry; relative energy among the computed polymorphs = 0 meV per atom; DOS at the Fermi energy = 9.721 states/eV/f.u.; uncorrected energy = -4.54 eV/atom; space-group type = R3m
1.0
2.787 1.609 9.183
-2.787 1.609 9.183
0.000 -3.218 9.183
La Er Al
1 3 8
direct
0.000 0.000 0.000
0.125 0.125 0.125
0.501 0.501 0.501
0.624 0.624 0.624
0.062 0.062 0.560
0.062 0.560 0.062
0.066 0.564 0.564
0.312 0.312 0.312
0.560 0.062 0.062
0.564 0.066 0.564
0.564 0.564 0.066
0.813 0.813 0.813

=====

7.
La12Er3Al | Alexandria via LeMat-Bulk | PBE-GGA | optimized geometry; DOS at the Fermi energy = 20.887 states/eV/f.u.; uncorrected energy = -4.81 eV/atom; space-group type = P4/mmm
1.0
5.126 0.000 0.000
0.000 5.126 0.000
0.000 0.000 20.699
La Er Al
12 3 1
direct
0.000 0.000 0.000
0.000 0.000 0.247
0.000 0.000 0.500
0.000 0.000 0.753
0.000 0.500 0.118
0.000 0.500 0.373
0.000 0.500 0.627
0.000 0.500 0.882
0.500 0.000 0.118
0.500 0.000 0.373
0.500 0.000 0.627
0.500 0.000 0.882
0.500 0.500 0.247
0.500 0.500 0.500
0.500 0.500 0.753
0.500 0.500 0.000

=====

8.
LaErAl2 | Alexandria via LeMat-Bulk | PBE-GGA | optimized geometry; relative energy among the computed polymorphs = 9 meV per atom; DOS at the Fermi energy = 0.935 states/eV/f.u.; uncorrected energy = -4.62 eV/atom; space-group type = Fm-3m
1.0
0.000 3.685 3.685
3.685 0.000 3.685
3.685 3.685 0.000
La Er Al
1 1 2
direct
0.000 0.000 0.000
0.500 0.500 0.500
0.250 0.250 0.250
0.750 0.750 0.750

=====

9.
LaErAl | Alexandria via LeMat-Bulk | PBE-GGA | optimized geometry; relative energy among the computed polymorphs = 13 meV per atom; DOS at the Fermi energy = 3.545 states/eV/f.u.; uncorrected energy = -4.62 eV/atom; space-group type = C2/m
1.0
3.355 -3.355 0.000
3.355 3.355 0.000
-0.048 0.000 7.998
La Er Al
2 2 2
direct
0.248 0.248 0.148
0.752 0.752 0.852
0.250 0.750 0.500
0.750 0.250 0.500
0.252 0.252 0.747
0.748 0.748 0.253

=====

10.
LaEr2Al | Alexandria via LeMat-Bulk | PBE-GGA | optimized geometry; relative energy among the computed polymorphs = 200 meV per atom; DOS at the Fermi energy = 5.012 states/eV/f.u.; uncorrected energy = -4.44 eV/atom; space-group type = R3m
1.0
2.530 1.461 5.575
-2.530 1.461 5.575
0.000 -2.922 5.575
La Er Al
1 2 1
direct
0.000 0.000 0.000
0.213 0.213 0.213
0.446 0.446 0.446
0.799 0.799 0.799

=====

11.
La2ErAl2 | Alexandria via LeMat-Bulk | PBE-GGA | optimized geometry; DOS at the Fermi energy = 3.953 states/eV/f.u.; uncorrected energy = -4.68 eV/atom; space-group type = Immm
1.0
-2.509 3.452 4.067
2.509 -3.452 4.067
2.509 3.452 -4.067
La Er Al
2 1 2
direct
0.195 0.195 0.000
0.805 0.805 0.000
0.500 0.000 0.500
0.200 0.500 0.700
0.800 0.500 0.300

=====

12.
LaErLuAl | Alexandria via LeMat-Bulk | PBE-GGA | optimized geometry; DOS at the Fermi energy = 6.435 states/eV/f.u.; uncorrected energy = -4.52 eV/atom; space-group type = F-43m
1.0
0.000 3.812 3.812
3.812 0.000 3.812
3.812 3.812 0.000
La Er Lu Al
1 1 1 1
direct
0.000 0.000 0.000
0.500 0.500 0.500
0.250 0.250 0.250
0.750 0.750 0.750

=====

13.
LaErMnAl | Alexandria via LeMat-Bulk | PBE-GGA | optimized geometry; DOS at the Fermi energy = 4.648 states/eV/f.u.; uncorrected energy = -5.63 eV/atom; space-group type = F-43m
1.0
0.000 3.666 3.666
3.666 0.000 3.666
3.666 3.666 0.000
La Er Mn Al
1 1 1 1
direct
0.000 0.000 0.000
0.500 0.500 0.500
0.250 0.250 0.250
0.750 0.750 0.750

=====

14.
LaNdErAl | Alexandria via LeMat-Bulk | PBE-GGA | optimized geometry; DOS at the Fermi energy = 6.713 states/eV/f.u.; uncorrected energy = -4.57 eV/atom; space-group type = F-43m
1.0
0.000 3.879 3.879
3.879 0.000 3.879
3.879 3.879 0.000
La Nd Er Al
1 1 1 1
direct
0.000 0.000 0.000
0.500 0.500 0.500
0.750 0.750 0.750
0.250 0.250 0.250

=====

15.
LaErAlPb | Alexandria via LeMat-Bulk | PBE-GGA | optimized geometry; DOS at the Fermi energy = 2.942 states/eV/f.u.; uncorrected energy = -4.59 eV/atom; space-group type = F-43m
1.0
0.000 3.823 3.823
3.823 0.000 3.823
3.823 3.823 0.000
La Er Al Pb
1 1 1 1
direct
0.000 0.000 0.000
0.500 0.500 0.500
0.750 0.750 0.750
0.250 0.250 0.250

=====

16.
LaErAlPd | Alexandria via LeMat-Bulk | PBE-GGA | optimized geometry; DOS at the Fermi energy = 3.498 states/eV/f.u.; uncorrected energy = -5.12 eV/atom; space-group type = F-43m
1.0
0.000 3.657 3.657
3.657 0.000 3.657
3.657 3.657 0.000
La Er Al Pd
1 1 1 1
direct
0.000 0.000 0.000
0.500 0.500 0.500
0.250 0.250 0.250
0.750 0.750 0.750

=====

17.
La2ErAl12Pd3 | Alexandria via LeMat-Bulk | PBE-GGA | optimized geometry; DOS at the Fermi energy = 9.004 states/eV/f.u.; uncorrected energy = -4.22 eV/atom; space-group type = R-3m
1.0
4.354 2.514 6.253
-4.354 2.514 6.253
0.000 -5.028 6.253
La Er Al Pd
2 1 12 3
direct
0.079 0.079 0.079
0.921 0.921 0.921
0.500 0.500 0.500
0.036 0.672 0.672
0.234 0.234 0.644
0.234 0.644 0.234
0.328 0.328 0.964
0.328 0.964 0.328
0.356 0.766 0.766
0.644 0.234 0.234
0.672 0.036 0.672
0.672 0.672 0.036
0.766 0.356 0.766
0.766 0.766 0.356
0.964 0.328 0.328
0.000 0.500 0.500
0.500 0.000 0.500
0.500 0.500 0.000

=====

18.
LaPmErAl | Alexandria via LeMat-Bulk | PBE-GGA | optimized geometry; relative energy among the computed polymorphs = 102 meV per atom; DOS at the Fermi energy = 6.887 states/eV/f.u.; uncorrected energy = -4.57 eV/atom; space-group type = F-43m
1.0
0.000 3.870 3.870
3.870 0.000 3.870
3.870 3.870 0.000
La Pm Er Al
1 1 1 1
direct
0.000 0.000 0.000
0.500 0.500 0.500
0.250 0.250 0.250
0.750 0.750 0.750

=====

19.
LaPmErAl | Alexandria via LeMat-Bulk | PBE-GGA | optimized geometry; relative energy among the computed polymorphs = 0 meV per atom; DOS at the Fermi energy = 4.072 states/eV/f.u.; uncorrected energy = -4.67 eV/atom; space-group type = P4mm
1.0
3.560 0.000 0.000
0.000 3.560 0.000
0.000 0.000 9.303
La Pm Er Al
1 1 1 1
direct
0.000 0.000 0.000
0.500 0.500 0.697
0.500 0.500 0.284
0.000 0.000 0.482

=====

20.
LaPrErAl | Alexandria via LeMat-Bulk | PBE-GGA | optimized geometry; DOS at the Fermi energy = 6.718 states/eV/f.u.; uncorrected energy = -4.57 eV/atom; space-group type = F-43m
1.0
0.000 3.891 3.891
3.891 0.000 3.891
3.891 3.891 0.000
La Pr Er Al
1 1 1 1
direct
0.000 0.000 0.000
0.500 0.500 0.500
0.250 0.250 0.250
0.750 0.750 0.750